Crystalline HoPtRh at its relaxed geometry. Source: Alexandria via LeMat-Bulk, functional PBE-GGA.

Properties
Energy relative to the lowest polymorph listed for this composition in meV per atom: 225
DOS at the Fermi energy in states/eV per cell: 1.9
Space group: Pmmm, No. 47

Lattice parameters (Å, degrees): 3.7789 3.8647 4.3050 90.00 90.00 90.00
Sites, in units of the cell vectors:
Ho 0.0000 0.0000 0.0000
Pt 0.0000 0.5000 0.5000
Rh 0.5000 0.0000 0.5000